[1]
{
  "formula": "Sm2Be4Si3Au",
  "functional": "PBE",
  "state": "optimized geometry",
  "crystal_system": "tetragonal",
  "energy_ev_per_atom": -4.855,
  "lattice_angstrom": [[3.937, 0.000, 0.000], [0.000, 3.937, 0.000], [0.000, 0.000, 9.865]],
  "species": ["Sm", "Sm", "Be", "Be", "Be", "Be", "Si", "Si", "Si", "Au"],
  "frac_coords": [[0.000, 0.500, 0.242], [0.500, 0.000, 0.758], [0.000, 0.000, 0.000], [0.000, 0.500, 0.637], [0.500, 0.000, 0.363], [0.500, 0.500, 0.000], [0.000, 0.500, 0.870], [0.500, 0.000, 0.130], [0.500, 0.500, 0.500], [0.000, 0.000, 0.500]]
}

---

[2]
{
  "formula": "Sm2Be3Si4Au",
  "functional": "PBE",
  "state": "optimized geometry",
  "crystal_system": "tetragonal",
  "energy_ev_per_atom": -4.972,
  "lattice_angstrom": [[4.024, 0.000, 0.000], [0.000, 4.024, 0.000], [0.000, 0.000, 9.901]],
  "species": ["Sm", "Sm", "Be", "Be", "Be", "Si", "Si", "Si", "Si", "Au"],
  "frac_coords": [[0.000, 0.500, 0.239], [0.500, 0.000, 0.761], [0.000, 0.500, 0.876], [0.500, 0.000, 0.124], [0.500, 0.500, 0.500], [0.000, 0.000, 0.000], [0.000, 0.500, 0.649], [0.500, 0.000, 0.351], [0.500, 0.500, 0.000], [0.000, 0.000, 0.500]]
}

---

[3]
{
  "formula": "Sr2BeSiAu6",
  "functional": "PBE",
  "state": "optimized geometry",
  "crystal_system": "triclinic",
  "energy_ev_per_atom": -3.718,
  "lattice_angstrom": [[6.662, 0.000, 0.000], [-3.276, 5.805, 0.000], [-0.055, -3.854, 5.673]],
  "species": ["Sr", "Sr", "Be", "Si", "Au", "Au", "Au", "Au", "Au", "Au"],
  "frac_coords": [[0.244, 0.063, 0.308], [0.756, 0.937, 0.692], [0.500, 0.500, 0.000], [0.000, 0.500, 0.500], [0.230, 0.511, 0.215], [0.258, 0.567, 0.820], [0.296, 0.015, 0.783], [0.704, 0.985, 0.217], [0.742, 0.433, 0.180], [0.770, 0.489, 0.785]]
}

---

What did the second record say?
{
  "formula": "Sm2Be3Si4Au",
  "functional": "PBE",
  "state": "optimized geometry",
  "crystal_system": "tetragonal",
  "energy_ev_per_atom": -4.972,
  "lattice_angstrom": [[4.024, 0.000, 0.000], [0.000, 4.024, 0.000], [0.000, 0.000, 9.901]],
  "species": ["Sm", "Sm", "Be", "Be", "Be", "Si", "Si", "Si", "Si", "Au"],
  "frac_coords": [[0.000, 0.500, 0.239], [0.500, 0.000, 0.761], [0.000, 0.500, 0.876], [0.500, 0.000, 0.124], [0.500, 0.500, 0.500], [0.000, 0.000, 0.000], [0.000, 0.500, 0.649], [0.500, 0.000, 0.351], [0.500, 0.500, 0.000], [0.000, 0.000, 0.500]]
}